1.
A crystal of HfBrCl relaxed with PBEsol. Source: Alexandria via LeMat-Bulk, functional SCAN.

Cell lengths 7.235, 7.235, 5.812 Å; angles 95.35, 95.35, 26.92 degrees
Sites, in units of the cell vectors:
1 Hf 0.000 0.000 0.000
2 Hf 0.500 0.500 0.500
3 Br 0.133 0.133 0.697
4 Br 0.367 0.367 0.135
5 Cl 0.618 0.618 0.195
6 Cl 0.882 0.882 0.640

The crystal system is monoclinic. For the uncorrected formation energy, the calculation gives -1.4703 eV/atom. Its magnetic moment is 0.0 μB/cell. The calculation puts the total energy at -94.52 eV/f.u. As for the space-group type: Cm, No. 8.

---

2.
A crystal of HgBrCl relaxed with PBEsol. Source: Alexandria via LeMat-Bulk, functional SCAN.

Cell lengths 3.958, 3.958, 6.130 Å; angles 90.00, 90.00, 120.00 degrees
Sites, in units of the cell vectors:
1 Hg 0.000 0.000 0.000
2 Br 0.333 0.667 0.739
3 Cl 0.667 0.333 0.234

The crystal system is trigonal. For the uncorrected formation energy, the calculation gives -0.5052 eV/atom. Its magnetic moment is 0.0 μB/cell. The calculation puts the total energy at -97.12 eV/f.u. As for the space-group type: P3m1, No. 156.

---

3.
A crystal of HgBr2Cl relaxed with PBEsol. Source: Alexandria via LeMat-Bulk, functional SCAN.

Cell lengths 5.786, 5.786, 8.320 Å; angles 128.12, 128.12, 37.50 degrees
Sites, in units of the cell vectors:
1 Hg 0.000 0.000 0.000
2 Br 0.485 0.485 0.249
3 Br 0.762 0.762 0.249
4 Cl 0.363 0.363 0.723

The crystal system is monoclinic. For the uncorrected formation energy, the calculation gives -0.1321 eV/atom. As for the offset from the most stable computed form: 0.0 meV/atom. Its magnetic moment is 0.0 μB/cell. The calculation puts the total energy at -115.59 eV/f.u. As for the space-group type: Cm, No. 8.

---

4.
A crystal of HgBrCl relaxed with PBEsol. Source: Alexandria via LeMat-Bulk, functional SCAN.

Cell lengths 7.438, 6.879, 3.931 Å; angles 82.09, 66.35, 31.56 degrees
Sites, in units of the cell vectors:
1 Hg 0.000 0.000 0.000
2 Br 0.360 0.360 0.640
3 Cl 0.629 0.629 0.371

The crystal system is orthorhombic. For the uncorrected formation energy, the calculation gives -0.4065 eV/atom. Its magnetic moment is 0.0 μB/cell. The calculation puts the total energy at -96.82 eV/f.u. As for the space-group type: Fmm2, No. 42.

---

5.
A crystal of HgBrCl relaxed with PBEsol. Source: Alexandria via LeMat-Bulk, functional SCAN.

Cell lengths 13.520, 6.381, 3.999 Å; angles 90.00, 90.00, 90.00 degrees
Sites, in units of the cell vectors:
1 Hg 0.160 0.250 0.081
2 Hg 0.340 0.750 0.581
3 Hg 0.660 0.250 0.419
4 Hg 0.840 0.750 0.919
5 Br 0.191 0.750 0.937
6 Br 0.309 0.250 0.437
7 Br 0.691 0.750 0.563
8 Br 0.809 0.250 0.063
9 Cl 0.034 0.250 0.679
10 Cl 0.466 0.750 0.179
11 Cl 0.534 0.250 0.821
12 Cl 0.966 0.750 0.321

The crystal system is orthorhombic. For the uncorrected formation energy, the calculation gives -0.5431 eV/atom. Its magnetic moment is 0.0 μB/cell. The calculation puts the total energy at -97.23 eV/f.u. As for the space-group type: Pnma, No. 62.

---

6.
A crystal of Hg2BrCl2 relaxed with PBEsol. Source: Alexandria via LeMat-Bulk, functional SCAN.

Cell lengths 6.598, 6.598, 6.598 Å; angles 139.60, 139.60, 58.47 degrees
Sites, in units of the cell vectors:
1 Hg 0.117 0.117 0.000
2 Hg 0.883 0.883 0.000
3 Br 0.500 0.500 0.000
4 Cl 0.250 0.750 0.500
5 Cl 0.750 0.250 0.500

The crystal system is tetragonal. For the uncorrected formation energy, the calculation gives -0.2663 eV/atom. Its magnetic moment is 0.0 μB/cell. The calculation puts the total energy at -173.08 eV/f.u. As for the space-group type: I4/mmm, No. 139.

---

7.
A crystal of HgBr2Cl relaxed with PBEsol. Source: Alexandria via LeMat-Bulk, functional SCAN.

Cell lengths 3.970, 3.971, 6.566 Å; angles 90.00, 90.58, 90.00 degrees
Sites, in units of the cell vectors:
1 Hg 0.000 0.000 0.000
2 Br 0.000 0.500 0.500
3 Br 0.500 0.000 0.500
4 Cl 0.500 0.500 0.000

The crystal system is monoclinic. For the uncorrected formation energy, the calculation gives 0.0114 eV/atom. As for the offset from the most stable computed form: 143.6 meV/atom. Its magnetic moment is 0.0 μB/cell. The calculation puts the total energy at -115.02 eV/f.u. As for the space-group type: P2/m, No. 10.

---

8.
A crystal of HgBrCl relaxed with PBEsol. Source: Alexandria via LeMat-Bulk, functional SCAN.

Cell lengths 4.012, 7.184, 12.658 Å; angles 90.00, 90.00, 90.00 degrees
Sites, in units of the cell vectors:
1 Hg 0.126 0.135 0.368
2 Hg 0.374 0.865 0.868
3 Hg 0.626 0.365 0.632
4 Hg 0.874 0.635 0.132
5 Br 0.232 0.268 0.772
6 Br 0.268 0.732 0.272
7 Br 0.732 0.232 0.228
8 Br 0.768 0.768 0.728
9 Cl 0.002 0.475 0.503
10 Cl 0.498 0.525 0.003
11 Cl 0.502 0.025 0.497
12 Cl 0.998 0.975 0.997

The crystal system is orthorhombic. For the uncorrected formation energy, the calculation gives -0.5443 eV/atom. Its magnetic moment is 0.0 μB/cell. The calculation puts the total energy at -97.24 eV/f.u. As for the space-group type: P2_12_12_1, No. 19.